# 1
# HfTcOF2

Crystalline HfTcOF2 at its relaxed geometry (PBE, Alexandria via LeMat-Bulk).

Calculated values
The formation energy (no corrections) is -618.9 meV/atom. As for the total energy: -6.4229 eV per atom. For the calculated density, the calculation gives 6.5 Mg/m³. The density of states at the Fermi level is 1.93 states/eV/f.u. For the offset from the most stable computed form, the calculation gives 0.887 eV/atom. Its crystal system is tetragonal.

a = 4.738 Å, b = 3.760 Å, c = 4.738 Å
α = 90.00°, β = 90.00°, γ = 90.00°
Each line ends with the local moment (μB).
Sites, in units of the cell vectors:
Tc: 0.500 0.500 0.500  3.27
F: 0.500 0.000 0.000  0.05
F: 0.000 0.000 0.500  0.02
O: 0.000 0.000 0.000  0.03
Hf: 0.000 0.500 0.000  -0.19

# 2
# HfTcO2F

Crystalline HfTcO2F at its relaxed geometry (PBE, Alexandria via LeMat-Bulk).

Calculated values
The formation energy (no corrections) is -787.2 meV/atom. As for the total energy: -7.2086 eV per atom. For the calculated density, the calculation gives 8.5 Mg/m³. The density of states at the Fermi level is 5.21 states/eV/f.u. Its crystal system is tetragonal.

a = 3.954 Å, b = 3.954 Å, c = 4.076 Å
α = 90.00°, β = 90.00°, γ = 90.00°
Sites, in units of the cell vectors:
Hf: 0.500 0.500 0.500
F: 0.000 0.000 0.500
O: 0.000 0.500 0.000
O: 0.500 0.000 0.000
Tc: 0.000 0.000 0.000

# 3
# HfTeO2F

Crystalline HfTeO2F at its relaxed geometry (PBE, Alexandria via LeMat-Bulk).

Calculated values
The formation energy (no corrections) is -270.2 meV/atom. As for the total energy: -5.2468 eV per atom. For the calculated density, the calculation gives 7.1 Mg/m³. The density of states at the Fermi level is 3.65 states/eV/f.u. Its crystal system is tetragonal.

a = 4.201 Å, b = 4.201 Å, c = 4.740 Å
α = 90.00°, β = 90.00°, γ = 90.00°
Each line ends with the local moment (μB).
Sites, in units of the cell vectors:
Hf: 0.500 0.500 0.500  1.20
F: 0.000 0.000 0.500  0.04
O: 0.500 0.000 0.000  0.01
O: 0.000 0.500 0.000  0.01
Te: 0.000 0.000 0.000  -0.01

# 4
# HfTeO4F

Crystalline HfTeO4F at its relaxed geometry (PBE, Alexandria via LeMat-Bulk).

Calculated values
The formation energy (no corrections) is -2084.4 meV/atom. As for the total energy: -7.0558 eV per atom. For the calculated density, the calculation gives 6.7 Mg/m³. The density of states at the Fermi level is 2.43 states/eV/f.u. Its crystal system is monoclinic.

a = 5.708 Å, b = 5.708 Å, c = 6.325 Å
α = 81.75°, β = 81.75°, γ = 72.38°
Each line ends with the local moment (μB).
Sites, in units of the cell vectors:
O: 0.420 0.420 0.725  0.16
O: 0.580 0.580 0.275  0.16
O: 0.819 0.819 0.439  0.18
O: 0.875 0.500 0.863  0.04
O: 0.500 0.125 0.137  0.04
O: 0.125 0.500 0.137  0.04
O: 0.181 0.181 0.561  0.18
O: 0.500 0.875 0.863  0.04
Te: 0.639 0.639 0.656  0.13
Te: 0.361 0.361 0.344  0.13
Hf: 0.800 0.800 0.109  0.03
Hf: 0.200 0.200 0.891  0.03
F: 0.963 0.963 0.835  0.01
F: 0.037 0.037 0.165  0.01

# 5
# HfTeO2F

Crystalline HfTeO2F at its relaxed geometry (PBE, Alexandria via LeMat-Bulk).

Calculated values
The formation energy (no corrections) is -1993.3 meV/atom. As for the total energy: -6.9698 eV per atom. For the calculated density, the calculation gives 8.0 Mg/m³. The density of states at the Fermi level is 2.91 states/eV/f.u. Its crystal system is tetragonal.

a = 4.192 Å, b = 4.192 Å, c = 4.230 Å
α = 90.00°, β = 90.00°, γ = 90.00°
Sites, in units of the cell vectors:
Hf: 0.000 0.000 0.000
O: 0.000 0.500 0.000
O: 0.500 0.000 0.000
F: 0.000 0.000 0.500
Te: 0.500 0.500 0.500

# 6
# HfTiOF2

Crystalline HfTiOF2 at its relaxed geometry (PBE, Alexandria via LeMat-Bulk).

Calculated values
The formation energy (no corrections) is -1653.2 meV/atom. As for the total energy: -6.9630 eV per atom. For the calculated density, the calculation gives 6.9 Mg/m³. The density of states at the Fermi level is 3.58 states/eV/f.u. For the offset from the most stable computed form, the calculation gives 0.271 eV/atom. Its crystal system is tetragonal.

a = 4.141 Å, b = 4.141 Å, c = 3.941 Å
α = 90.00°, β = 90.00°, γ = 90.00°
Each line ends with the local moment (μB).
Sites, in units of the cell vectors:
F: 0.000 0.500 0.000  0.07
F: 0.500 0.000 0.000  0.07
Hf: 0.500 0.500 0.500  1.38
Ti: 0.000 0.000 0.000  1.23
O: 0.000 0.000 0.500  -0.05

# 7
# HfTiOF2

Crystalline HfTiOF2 at its relaxed geometry (PBE, Alexandria via LeMat-Bulk).

Calculated values
The formation energy (no corrections) is -1924.2 meV/atom. As for the total energy: -7.2340 eV per atom. For the calculated density, the calculation gives 6.2 Mg/m³. The density of states at the Fermi level is 4.95 states/eV/f.u. For the offset from the most stable computed form, the calculation gives 0.000 eV/atom. Its crystal system is tetragonal.

a = 4.278 Å, b = 4.278 Å, c = 4.081 Å
α = 90.00°, β = 90.00°, γ = 90.00°
Each line ends with the local moment (μB).
Sites, in units of the cell vectors:
Ti: 0.500 0.500 0.500  2.28
F: 0.500 0.000 0.000  0.06
F: 0.000 0.500 0.000  0.06
Hf: 0.000 0.000 0.000  0.41
O: 0.000 0.000 0.500  -0.01